LaPmYSc: relaxed, PBE-GGA.

```
LaPmYSc
1.0
12.2699 0.0000 0.0000
0.0000 5.7547 0.0000
-1.1912 0.0000 3.6549
La Pm Y Sc
2 2 2 2
Cartesian
0.0000 0.0000 0.0000
6.1349 2.8774 0.0000
2.5559 2.8774 0.7418
8.6909 0.0000 0.7418
2.3917 0.0000 2.7215
8.5266 2.8774 2.7215
5.5167 0.0000 1.7586
11.6516 2.8774 1.7586
```

Computed properties:
Formation energy ... 0.087 eV per atom
Volume ... 258 Å³ per cell
Theoretical density ... 5.4 Mg/m³

Sr2HPtRh: relaxed, PBE-GGA.

```
Sr2HPtRh
1.0
5.3444 0.0000 0.0000
0.0000 5.3444 0.0000
0.0000 0.0000 3.5739
Sr H Pt Rh
2 1 1 1
Cartesian
0.0000 2.6722 0.0000
2.6722 0.0000 0.0000
0.0000 0.0000 0.0000
0.0000 0.0000 1.7870
2.6722 2.6722 1.7870
```

Computed properties:
Total energy ... -4.426 eV per atom
Volume ... 102 Å³ per cell
Theoretical density ... 7.7 Mg/m³

BaGe2Sb: relaxed, PBE-GGA.

```
BaGe2Sb
1.0
8.2220 0.0000 0.0000
0.0000 8.2220 0.0000
0.0000 0.0000 7.3610
Ba Ge Sb
4 8 4
Cartesian
0.0000 0.0000 0.0000
0.0000 4.1110 1.8403
4.1110 0.0000 5.5208
4.1110 4.1110 3.6805
1.5455 2.0555 4.6006
2.0555 5.6565 6.4409
2.0555 6.6765 2.7604
2.5655 2.0555 0.9201
5.6565 6.1665 0.9201
6.1665 1.5455 2.7604
6.1665 2.5655 6.4409
6.6765 6.1665 4.6006
0.0000 0.0000 3.6805
0.0000 4.1110 5.5208
4.1110 0.0000 1.8403
4.1110 4.1110 0.0000
```

Computed properties:
Volume ... 498 Å³ per cell
Theoretical density ... 5.4 Mg/m³
ΔE_f (raw) ... -65 kJ/mol of formula units

Fe2Ir3Rh3: relaxed, PBE-GGA.

```
Fe2Ir3Rh3
1.0
3.8118 0.0000 0.0000
0.0000 3.8192 0.0000
0.0000 0.0000 7.6431
Fe Ir Rh
2 3 3
Cartesian
0.0000 0.0000 1.9109
0.0000 0.0000 5.7322
0.0000 1.9096 0.0000
1.9059 0.0000 0.0000
1.9059 0.0000 3.8216
0.0000 1.9096 3.8216
1.9059 1.9096 1.9126
1.9059 1.9096 5.7305
```

Computed properties:
Formation energy ... -0.044 eV per atom
Volume ... 111 Å³ per cell
Theoretical density ... 14.9 Mg/m³

Nb6Ge3As: relaxed, PBE-GGA.

```
Nb6Ge3As
1.0
4.9995 -6.0439 0.0000
4.9995 6.0439 0.0000
0.0000 0.0000 6.3109
Nb Ge As
12 6 2
Cartesian
4.9995 5.7840 3.1554
3.2715 2.8996 3.2859
4.9995 3.0658 0.9310
3.3169 0.7912 0.5460
3.3169 -0.7912 3.7014
6.7276 2.8996 3.2859
3.2715 -2.8996 0.1305
6.6822 0.7912 0.5460
6.6822 -0.7912 3.7014
4.9995 -3.0658 4.0865
6.7276 -2.8996 0.1305
4.9995 -5.7840 0.0000
1.8591 1.1295 4.6535
1.8591 -1.1295 1.4981
4.9995 0.9281 2.6484
4.9995 -0.9281 5.8039
8.1400 1.1295 4.6535
8.1400 -1.1295 1.4981
4.9995 3.9719 4.9000
4.9995 -3.9719 1.7445
```

Computed properties:
Formation energy ... -0.157 eV per atom
Volume ... 381 Å³ per cell
Theoretical density ... 7.4 Mg/m³

Mn2AgPb: relaxed, PBE-GGA.

```
Mn2AgPb
1.0
3.4285 0.0000 0.0000
0.0000 3.4285 0.0000
0.0000 0.0000 6.5417
Mn Ag Pb
2 1 1
Cartesian
0.0000 0.0000 1.4466
0.0000 0.0000 5.0950
1.7142 1.7142 0.0000
1.7142 1.7142 3.2708
```

Computed properties:
Formation energy ... 0.406 eV per atom
Volume ... 77 Å³ per cell
Theoretical density ... 9.2 Mg/m³

no.,magnetic moment (μB/cell)
1,0.00
2,0.00
3,0.00
4,7.06
5,0.00
6,8.11